Run a
## Tc2BrN (PBE)

Data for an optimized crystal structure of Tc2BrN.

The structure in POSCAR format:
```
Tc2BrN
1.0
-4.738 -0.518 1.269
-0.535 -3.503 -3.430
-1.243 -5.803 2.576
Br Tc N
2 4 2
Cartesian
0.000 0.000 0.000 Br
-4.308 -4.166 1.382 Br
-5.488 -7.489 0.415 Tc
-1.754 -3.761 -1.203 Tc
-2.822 -2.156 0.870 Tc
-2.968 -6.242 0.748 Tc
-2.636 -2.011 -1.080 N
-2.207 -5.658 -0.967 N
```

Its total magnetization is 0.000 μB/f.u.

***

Run b
## Tc2BrN (PBE)

Data for an optimized crystal structure of Tc2BrN.

The structure in POSCAR format:
```
Tc2BrN
1.0
2.314 2.626 2.277
-1.851 2.922 2.339
0.039 -0.324 4.162
Br Tc N
1 2 1
Cartesian
0.251 2.611 4.389 Br
0.377 3.917 6.584 Tc
0.126 1.306 2.195 Tc
0.000 0.000 0.000 N
```

Its total magnetization is 0.000 μB/f.u.

***

We find run a to be the most stable, with the next structure 0.801 eV/atom higher.